# 1
LiNi2Te | Alexandria via LeMat-Bulk | PBE | relaxed; magnetic moment = 0.0 μB per cell; ΔE_f (raw) = 24 meV per atom; symmetry = P4/mmm, No. 123
1.0
-2.736 1.109 -1.509
1.443 -0.454 -2.951
-1.913 -4.954 -0.172
Li Ni Te
1 2 1
direct
0.500 0.500 0.750
0.000 0.000 0.995
0.000 0.000 0.505
0.500 0.500 0.250

=====

# 2
LiNi4Te | Alexandria via LeMat-Bulk | PBE | relaxed; magnetic moment = 0.0 μB per cell; ΔE_f (raw) = -14 meV per atom; symmetry = F-43m, No. 216
1.0
0.000 3.416 3.416
3.416 0.000 3.416
3.416 3.416 0.000
Li Ni Te
1 4 1
direct
0.000 0.000 0.000
0.876 0.375 0.375
0.375 0.375 0.876
0.375 0.876 0.375
0.375 0.375 0.375
0.750 0.750 0.750

=====

# 3
LiNi2Te | Alexandria via LeMat-Bulk | PBE | relaxed; magnetic moment = 0.0 μB per cell; ΔE_f (raw) = -86 meV per atom; symmetry = F-43m, No. 216
1.0
4.282 0.000 0.000
2.141 3.708 0.000
2.141 1.236 3.496
Li Ni Te
1 2 1
direct
0.500 0.500 0.500
0.000 0.000 0.000
0.250 0.250 0.250
0.750 0.750 0.750

=====

# 4
LiNi2Te2 | Alexandria via LeMat-Bulk | PBE | relaxed; magnetic moment = 0.0 μB per cell; ΔE_f (raw) = -155 meV per atom; symmetry = P4/mbm, No. 127; polymorph energy (0 for the lowest one) = 117 meV per atom
1.0
-6.780 0.658 2.119
-0.262 -7.003 1.334
1.076 0.581 3.263
Ni Te Li
4 4 2
direct
0.377 0.877 0.000
0.877 0.623 0.000
0.623 0.123 0.000
0.123 0.377 0.000
0.175 0.675 0.500
0.675 0.825 0.500
0.825 0.325 0.500
0.325 0.175 0.500
0.000 0.000 0.000
0.500 0.500 0.000

=====

# 5
LiNi2Te2 | Alexandria via LeMat-Bulk | PBE | relaxed; magnetic moment = 0.0 μB per cell; ΔE_f (raw) = -114 meV per atom; symmetry = I4/mmm, No. 139; polymorph energy (0 for the lowest one) = 158 meV per atom
1.0
-4.533 -1.187 -1.490
1.485 -4.611 -0.845
-2.531 -3.936 2.724
Ni Te Li
2 2 1
direct
0.347 0.347 0.305
0.653 0.653 0.695
0.750 0.250 0.500
0.250 0.750 0.500
0.000 0.000 0.000

=====

# 6
Li2NiTe | Alexandria via LeMat-Bulk | PBE | relaxed; magnetic moment = 0.0 μB per cell; ΔE_f (raw) = -462 meV per atom; symmetry = I-4m2, No. 119
1.0
4.375 0.000 0.001
0.001 4.375 0.001
-2.187 -2.187 3.089
Li Ni Te
2 1 1
direct
0.000 0.000 0.000
0.250 0.750 0.500
0.500 0.500 0.000
0.750 0.250 0.500

=====

# 7
LiNi2Te | Alexandria via LeMat-Bulk | PBE | relaxed; magnetic moment = 0.0 μB per cell; ΔE_f (raw) = 57 meV per atom; symmetry = P2/m, No. 10
1.0
4.320 0.000 0.000
0.000 2.974 -0.092
0.000 -0.162 4.764
Li Ni Te
1 2 1
direct
0.500 0.750 0.750
0.000 0.083 0.973
0.000 0.417 0.527
0.500 0.250 0.250

=====

# 8
Li2NiTe | Alexandria via LeMat-Bulk | PBE | relaxed; magnetic moment = 0.0 μB per cell; ΔE_f (raw) = -164 meV per atom; symmetry = Pmm2, No. 25
1.0
3.519 0.000 0.000
0.000 3.432 0.000
0.000 0.000 5.654
Li Ni Te
2 1 1
direct
0.000 0.000 0.002
0.500 0.500 0.256
0.000 0.000 0.523
0.500 0.500 0.720